Entry 1:
## Ti3CdN (PBE)

Data for a geometry-optimized Ti3CdN structure.

Values from the calculation:
V ... 104.6 Å³/f.u.
ΔE_f (raw) ... 0.553 eV/atom
Symmetry ... No. 119
Magnetization ... 0.0 μB/f.u.
Crystal system ... tetragonal

Cell: 3.999 3.999 13.386 Å, 81.41 81.41 90.00°
Fractional coordinates of all 10 atoms:
N1 0.641 0.141 0.717
N2 0.859 0.359 0.283
Ti1 0.643 0.892 0.215
Ti2 0.108 0.357 0.785
Ti3 0.108 0.858 0.785
Ti4 0.142 0.892 0.215
Ti5 0.329 0.329 0.342
Ti6 0.671 0.671 0.658
Cd1 0.000 0.000 0.000
Cd2 0.250 0.750 0.500


Entry 2:
## Sn3HgAu (PBE)

Data for a geometry-optimized Sn3HgAu structure.

Values from the calculation:
Distance to the lowest polymorph of the same formula ... 0.014 eV per atom
V ... 133.4 Å³/f.u.
ΔE_f ... -0.015 eV per atom
Symmetry ... No. 15
Magnetization ... 0.0 μB/f.u.
Crystal system ... monoclinic

Cell: 7.178 7.178 12.402 Å, 78.35 78.35 59.12°
Fractional coordinates of all 20 atoms:
Sn1 0.749 0.984 0.784
Sn2 0.016 0.251 0.716
Sn3 0.251 0.016 0.216
Sn4 0.984 0.749 0.284
Sn5 0.621 0.743 0.653
Sn6 0.257 0.379 0.847
Sn7 0.379 0.257 0.347
Sn8 0.743 0.621 0.153
Sn9 0.233 0.847 0.961
Sn10 0.153 0.767 0.539
Sn11 0.847 0.233 0.461
Sn12 0.767 0.153 0.039
Hg1 0.750 0.545 0.904
Hg2 0.455 0.250 0.596
Hg3 0.250 0.455 0.096
Hg4 0.545 0.750 0.404
Au1 0.000 0.500 0.500
Au2 0.500 0.000 0.000
Au3 0.782 0.218 0.250
Au4 0.218 0.782 0.750


Entry 3:
## RuAuSe2 (PBE)

Data for a geometry-optimized RuAuSe2 structure.

Values from the calculation:
V ... 70.3 Å³/f.u.
ΔE_f (raw) ... 0.576 eV/atom
Symmetry ... No. 119
Magnetization ... 0.5 μB/f.u.
Crystal system ... tetragonal

Cell: 5.293 5.293 5.293 Å, 136.13 136.13 63.78°
Fractional coordinates of all 4 atoms:
Au1 0.500 0.500 0.000
Ru1 0.750 0.250 0.500
Se1 0.000 0.000 0.000
Se2 0.250 0.750 0.500


Entry 4:
## NiHg5 (PBE)

Data for a geometry-optimized NiHg5 structure.

Values from the calculation:
V ... 143.6 Å³/f.u.
ΔE_f ... 0.210 eV per atom
Symmetry ... No. 189
Magnetization ... 0.0 μB/f.u.
Crystal system ... hexagonal

Cell: 6.556 6.556 3.857 Å, 90.00 90.00 120.00°
Fractional coordinates of all 6 atoms:
Ni1 0.000 0.000 0.500
Hg1 0.282 0.282 0.000
Hg2 0.000 0.718 0.000
Hg3 0.718 0.000 0.000
Hg4 0.667 0.333 0.500
Hg5 0.333 0.667 0.500


Entry 5:
## Li4OsPt (PBE)

Data for a geometry-optimized Li4OsPt structure.

Values from the calculation:
V ... 74.0 Å³/f.u.
ΔE_f ... 0.180 eV per atom
Symmetry ... No. 216
Magnetization ... 1.5 μB/f.u.
Crystal system ... cubic

Cell: 4.712 4.712 4.712 Å, 60.00 60.00 60.00°
Fractional coordinates of all 6 atoms:
Li1 0.874 0.375 0.375
Li2 0.375 0.375 0.874
Li3 0.375 0.874 0.375
Li4 0.375 0.375 0.375
Os1 0.750 0.750 0.750
Pt1 0.000 0.000 0.000


Entry 6:
## GaSn3Au3 (PBE)

Data for a geometry-optimized GaSn3Au3 structure.

Values from the calculation:
Distance to the lowest polymorph of the same formula ... 0.000 eV per atom
V ... 166.9 Å³/f.u.
ΔE_f ... -0.102 eV per atom
Symmetry ... No. 148
Magnetization ... 0.0 μB/f.u.
Crystal system ... trigonal

Cell: 7.499 7.499 7.499 Å, 65.49 65.49 65.49°
Fractional coordinates of all 14 atoms:
Ga1 0.346 0.346 0.346
Ga2 0.654 0.654 0.654
Sn1 0.844 0.340 0.116
Sn2 0.116 0.844 0.340
Sn3 0.340 0.116 0.844
Sn4 0.660 0.884 0.156
Sn5 0.884 0.156 0.660
Sn6 0.156 0.660 0.884
Au1 0.510 0.323 0.949
Au2 0.323 0.949 0.510
Au3 0.949 0.510 0.323
Au4 0.051 0.490 0.677
Au5 0.677 0.051 0.490
Au6 0.490 0.677 0.051


Entry 7:
## Sc6PC2 (PBE)

Data for a geometry-optimized Sc6PC2 structure.

Values from the calculation:
V ... 170.5 Å³/f.u.
ΔE_f ... -0.559 eV per atom
Symmetry ... No. 12
Magnetization ... 0.0 μB/f.u.
Crystal system ... monoclinic

Cell: 4.490 6.227 7.785 Å, 120.44 90.00 111.13°
Fractional coordinates of all 9 atoms:
Sc1 0.966 0.931 0.793
Sc2 0.695 0.391 0.075
Sc3 0.305 0.609 0.925
Sc4 0.652 0.304 0.586
Sc5 0.348 0.696 0.414
Sc6 0.034 0.069 0.207
P1 0.000 0.000 0.500
C1 0.819 0.639 0.910
C2 0.181 0.361 0.090


Entry 8:
## Tm2Co5C4 (PBE)

Data for a geometry-optimized Tm2Co5C4 structure.

Values from the calculation:
V ... 116.5 Å³/f.u.
ΔE_f ... -0.078 eV per atom
Symmetry ... No. 69
Magnetization ... 0.0 μB/f.u.
Crystal system ... orthorhombic

Cell: 4.836 5.141 5.836 Å, 78.76 65.52 61.94°
Fractional coordinates of all 11 atoms:
Tm1 0.853 0.000 0.294
Tm2 0.147 0.000 0.706
Co1 0.500 0.000 0.000
Co2 0.000 0.500 0.000
Co3 0.500 0.500 0.000
Co4 0.250 0.500 0.500
Co5 0.750 0.500 0.500
C1 0.476 0.311 0.736
C2 0.524 0.689 0.264
C3 0.213 0.311 0.264
C4 0.787 0.689 0.736


- Which of these has the lowest V?
  RuAuSe2